## CaHg2Bi (PBE)

Data for crystalline CaHg2Bi at its relaxed geometry.

The density is 8.70 g/cm³. The calculation puts the formation energy from the elements at -1.19 eV/f.u. The calculation puts the volume at 124.1 Å³/cell.

POSCAR file:
```
CaHg2Bi
1.0
-4.5386 1.7931 0.2966
-2.9454 -0.1454 -3.8994
-4.5075 -4.8301 0.5200
Ca Hg Bi
1 2 1
Direct
0.6774 0.6774 0.9677
0.0797 0.0797 0.7609
0.2567 0.2567 0.2300
0.4862 0.4862 0.5414
```